A relaxed structure of La4Sm2Ho5. Source: Alexandria via LeMat-Bulk, functional PBE-GGA.

The value obtained for the density of states at the Fermi level is 17.07 states/eV/f.u. For the formation energy from the elements, the calculation gives 0.087 eV/atom. As for the polymorph energy (0 for the lowest one): 0 meV/atom. For the total energy, the calculation gives -4.644 eV/atom. For the magnetic moment, the calculation gives 0.0 μB per formula unit.

The structure belongs to space group C2/m (No. 12); the cell edges are 17.814, 3.550 and 11.796 Å and the angles 90.00°, 94.51° and 90.00°. The distinct sites, in fractional coordinates, are La at (0.037, 0.000, 0.261), La at (0.141, 0.500, 0.797), Sm at (0.214, 0.500, 0.355), Ho at (0.000, 0.500, 0.000), Ho at (0.097, 0.000, 0.540) and Ho at (0.178, 0.000, 0.069).

=====

A relaxed structure of La16Sm7Ho6. Source: Alexandria via LeMat-Bulk, functional PBE-GGA.

The value obtained for the density of states at the Fermi level is 41.09 states/eV/f.u. For the formation energy from the elements, the calculation gives 0.199 eV/atom. For the total energy, the calculation gives -4.605 eV/atom. For the magnetic moment, the calculation gives 0.0 μB per formula unit.

The structure belongs to space group Fm-3m (No. 225); the cell edges are 16.261, 16.261 and 16.261 Å and the angles 90.00°, 90.00° and 90.00°. The distinct sites, in fractional coordinates, are La at (0.125, 0.125, 0.125), La at (0.150, 0.150, 0.350), Sm at (0.000, 0.000, 0.000), Sm at (0.000, 0.250, 0.250) and Ho at (0.000, 0.000, 0.262).

=====

A relaxed structure of La3SmHo3. Source: Alexandria via LeMat-Bulk, functional PBE-GGA.

The value obtained for the density of states at the Fermi level is 13.19 states/eV/f.u. For the formation energy from the elements, the calculation gives 0.038 eV/atom. As for the polymorph energy (0 for the lowest one): 0 meV/atom. For the total energy, the calculation gives -4.710 eV/atom. For the magnetic moment, the calculation gives 0.0 μB per formula unit.

The structure belongs to space group P6_3/m (No. 176); the cell edges are 9.7744, 9.7744 and 5.8277 Å and the angles 90.00°, 90.00° and 120.00°. The distinct sites, in fractional coordinates, are La at (0.0968, 0.6237, 0.2500), Sm at (0.3333, 0.6667, 0.7500) and Ho at (0.0458, 0.8149, 0.7500).

=====

A relaxed structure of LaSm4Ho8. Source: Alexandria via LeMat-Bulk, functional PBE-GGA.

The value obtained for the density of states at the Fermi level is 20.92 states/eV/f.u. For the formation energy from the elements, the calculation gives 0.519 eV/atom. For the total energy, the calculation gives -4.129 eV/atom. For the magnetic moment, the calculation gives 1.8 μB per formula unit.

The structure belongs to space group R-3m (No. 166, hexagonal axes); the cell edges are 11.0296, 11.0296 and 13.5405 Å and the angles 90.00°, 90.00° and 120.00°. The distinct sites, in fractional coordinates, are La at (0.0000, 0.0000, 0.0000), Sm at (0.0000, 0.0000, 0.5000), Sm at (0.0000, 0.5000, 0.5000), Ho at (0.0000, 0.0000, 0.2614) and Ho at (0.0153, 0.5077, 0.2468).

=====

A relaxed structure of La4SmHo4. Source: Alexandria via LeMat-Bulk, functional PBE-GGA.

The value obtained for the density of states at the Fermi level is 14.39 states/eV/f.u. For the formation energy from the elements, the calculation gives 0.030 eV/atom. As for the polymorph energy (0 for the lowest one): 0 meV/atom. For the total energy, the calculation gives -4.719 eV/atom. For the magnetic moment, the calculation gives 0.0 μB per formula unit.

The structure belongs to space group I4/mmm (No. 139); the cell edges are 10.888, 10.888 and 5.157 Å and the angles 90.00°, 90.00° and 90.00°. The distinct sites, in fractional coordinates, are La at (0.167, 0.167, 0.000), Sm at (0.000, 0.000, 0.500) and Ho at (0.000, 0.337, 0.500).

=====

A relaxed structure of La8Sm3Ho2. Source: Alexandria via LeMat-Bulk, functional PBE-GGA.

The value obtained for the density of states at the Fermi level is 18.42 states/eV/f.u. For the formation energy from the elements, the calculation gives 0.181 eV/atom. As for the polymorph energy (0 for the lowest one): 34 meV/atom. For the total energy, the calculation gives -4.644 eV/atom. For the magnetic moment, the calculation gives 0.0 μB per formula unit.

The structure belongs to space group C2/m (No. 12); the cell edges are 20.629, 7.742 and 5.905 Å and the angles 90.00°, 90.04° and 90.00°. The distinct sites, in fractional coordinates, are La at (0.106, 0.203, 0.000), La at (0.134, 0.500, 0.499), La at (0.175, 0.000, 0.502), Sm at (0.000, 0.218, 0.500), Sm at (0.000, 0.500, 0.000) and Ho at (0.241, 0.500, 0.998).

=====

A relaxed structure of La3Sm7Ho2. Source: Alexandria via LeMat-Bulk, functional PBE-GGA.

The value obtained for the density of states at the Fermi level is 20.18 states/eV/f.u. For the formation energy from the elements, the calculation gives 0.260 eV/atom. For the total energy, the calculation gives -4.488 eV/atom. For the magnetic moment, the calculation gives 0.0 μB per formula unit.

The structure belongs to space group R-3m (No. 166, hexagonal axes); the cell edges are 6.6333, 6.6333 and 34.3041 Å and the angles 90.00°, 90.00° and 120.00°. The distinct sites, in fractional coordinates, are La at (0.0000, 0.0000, 0.0000), La at (0.0000, 0.0000, 0.1540), Sm at (0.0000, 0.0000, 0.5000), Sm at (0.0019, 0.5009, 0.9168) and Ho at (0.0000, 0.0000, 0.3336).

=====

A relaxed structure of LaSm3Ho12. Source: Alexandria via LeMat-Bulk, functional PBE-GGA.

The value obtained for the density of states at the Fermi level is 22.49 states/eV/f.u. For the formation energy from the elements, the calculation gives 0.024 eV/atom. For the total energy, the calculation gives -4.602 eV/atom. For the magnetic moment, the calculation gives 0.0 μB per formula unit.

The structure belongs to space group P4/mmm (No. 123); the cell edges are 5.032, 5.032 and 20.148 Å and the angles 90.00°, 90.00° and 90.00°. The distinct sites, in fractional coordinates, are La at (0.000, 0.000, 0.000), Sm at (0.000, 0.000, 0.251), Sm at (0.000, 0.000, 0.500), Ho at (0.000, 0.500, 0.127), Ho at (0.000, 0.500, 0.376), Ho at (0.500, 0.500, 0.000), Ho at (0.500, 0.500, 0.252) and Ho at (0.500, 0.500, 0.500).

=====

A relaxed structure of LaSm4Ho5. Source: Alexandria via LeMat-Bulk, functional PBE-GGA.

The value obtained for the density of states at the Fermi level is 16.35 states/eV/f.u. For the formation energy from the elements, the calculation gives 0.066 eV/atom. As for the polymorph energy (0 for the lowest one): 0 meV/atom. For the total energy, the calculation gives -4.603 eV/atom. For the magnetic moment, the calculation gives 0.0 μB per formula unit.

The structure belongs to space group P-1 (No. 2); the cell edges are 3.543, 6.814 and 14.174 Å and the angles 93.97°, 95.11° and 103.74°. The distinct sites, in fractional coordinates, are La at (0.000, 0.000, 0.000), Sm at (0.183, 0.680, 0.802), Sm at (0.471, 0.201, 0.784), Ho at (0.014, 0.605, 0.403), Ho at (0.292, 0.134, 0.405) and Ho at (0.500, 0.500, 0.000).

=====

A relaxed structure of La6Sm3Ho. Source: Alexandria via LeMat-Bulk, functional PBE-GGA.

The value obtained for the density of states at the Fermi level is 14.79 states/eV/f.u. For the formation energy from the elements, the calculation gives 0.566 eV/atom. As for the polymorph energy (0 for the lowest one): 505 meV/atom. For the total energy, the calculation gives -4.264 eV/atom. For the magnetic moment, the calculation gives 0.0 μB per formula unit.

The structure belongs to space group R3m (No. 160, hexagonal axes); the cell edges are 20.6090, 20.6090 and 3.6293 Å and the angles 90.00°, 90.00° and 120.00°. The distinct sites, in fractional coordinates, are La at (0.1678, 0.0839, 0.0000), La at (0.1684, 0.3368, 0.1282), Sm at (0.0897, 0.1794, 0.6018) and Ho at (0.0000, 0.0000, 0.4404).

=====

A relaxed structure of LaSm4Ho2. Source: Alexandria via LeMat-Bulk, functional PBE-GGA.

The value obtained for the density of states at the Fermi level is 10.85 states/eV/f.u. For the formation energy from the elements, the calculation gives 0.119 eV/atom. As for the polymorph energy (0 for the lowest one): 44 meV/atom. For the total energy, the calculation gives -4.590 eV/atom. For the magnetic moment, the calculation gives 0.0 μB per formula unit.

The structure belongs to space group P2_1/m (No. 11); the cell edges are 6.191, 6.657 and 11.689 Å and the angles 90.00°, 103.96° and 90.00°. The distinct sites, in fractional coordinates, are La at (0.030, 0.250, 0.356), Sm at (0.151, 0.250, 0.658), Sm at (0.290, 0.750, 0.932), Sm at (0.356, 0.507, 0.212), Ho at (0.149, 0.250, 0.946) and Ho at (0.399, 0.750, 0.501).

=====

A relaxed structure of LaSm2Ho. Source: Alexandria via LeMat-Bulk, functional PBE-GGA.

The value obtained for the density of states at the Fermi level is 7.36 states/eV/f.u. For the formation energy from the elements, the calculation gives 0.034 eV/atom. As for the polymorph energy (0 for the lowest one): 13 meV/atom. For the total energy, the calculation gives -4.702 eV/atom. For the magnetic moment, the calculation gives 0.0 μB per formula unit.

The structure belongs to space group Pnma (No. 62); the cell edges are 6.373, 5.845 and 14.698 Å and the angles 90.00°, 90.00° and 90.00°. The distinct sites, in fractional coordinates, are La at (0.085, 0.250, 0.188), Sm at (0.084, 0.250, 0.685), Sm at (0.087, 0.250, 0.938) and Ho at (0.082, 0.250, 0.439).